(1)
The following is a DFT calculation (PBE) of a relaxed EuDyHgPb crystal.

Calculated values
Size of the total moment in μB/f.u.: 7.6
DFT formation energy in eV/atom: -0.49

The structure in POSCAR format:
```
EuDyHgPb
1.0
5.456 0.000 0.000
2.728 4.725 0.000
2.728 1.575 4.455
Dy Eu Pb Hg
1 1 1 1
Cartesian
0.000 0.000 0.000
5.456 3.150 2.227
2.728 1.575 1.114
8.184 4.725 3.341
```

(2)
The following is a DFT calculation (PBE) of a relaxed NaCuP2Pt4 crystal.

Calculated values
Size of the total moment in μB/f.u.: 0.0
DFT formation energy in eV/atom: -0.38

The structure in POSCAR format:
```
NaCuP2Pt4
1.0
-1.415 1.785 -3.447
1.445 -3.163 -2.231
-6.682 -3.653 0.851
Pt Cu P Na
4 1 2 1
Cartesian
-4.605 -4.494 -0.437
-2.062 0.152 -1.551
-6.036 -2.020 -1.045
-0.632 -2.322 -0.943
0.000 0.000 0.000
-4.334 -3.067 -2.285
-2.319 -1.965 -2.542
-3.341 -1.827 0.426
```

(3)
The following is a DFT calculation (PBE) of a relaxed La5Sn2Te2 crystal.

Calculated values
Size of the total moment in μB/f.u.: 0.0
Uncorrected formation energy in kJ per mole of atoms: -108

The structure in POSCAR format:
```
La5Sn2Te2
1.0
-0.724 2.651 -8.133
-0.362 -8.095 -2.606
-7.893 4.165 2.060
Sn La Te
4 10 4
Cartesian
-0.322 -4.752 -2.690
-0.771 -5.382 -7.386
-0.765 -0.693 -8.050
-0.315 -0.063 -3.353
-0.543 -2.722 -5.370
-2.738 0.420 -5.669
-6.242 -1.699 -3.010
0.000 0.000 0.000
-2.734 -5.801 -4.659
-2.434 -2.190 -2.015
-6.546 0.911 -6.663
-6.246 4.521 -4.019
-3.039 -3.191 -8.312
-5.941 1.911 -0.366
-3.253 0.047 0.305
-3.796 -2.675 -5.065
-5.003 -3.977 -0.851
-5.184 1.396 -3.614
```

(4)
The following is a DFT calculation (PBE) of a relaxed RbTlTcI6 crystal.

Calculated values
Size of the total moment in μB/f.u.: 3.0
Uncorrected formation energy in kJ per mole of atoms: -48

The structure in POSCAR format:
```
RbTlTcI6
1.0
8.436 0.000 0.000
-4.218 7.306 0.000
0.000 0.000 14.163
Rb I Tc Tl
2 12 2 2
Cartesian
0.000 0.000 7.081
0.000 0.000 0.000
5.387 4.343 5.146
1.067 6.837 12.227
1.981 2.494 5.146
3.049 4.343 1.936
-2.236 4.812 12.227
2.236 4.812 9.017
-1.169 2.963 9.017
3.151 0.469 1.936
1.169 2.963 12.227
-1.067 6.837 9.017
5.285 0.469 5.146
6.454 2.494 1.936
0.000 4.870 10.622
4.218 2.435 3.541
4.218 2.435 10.622
0.000 4.870 3.541
```

(5)
The following is a DFT calculation (PBE) of a relaxed Ta3Fe8Si crystal.

Calculated values
Size of the total moment in μB/f.u.: 10.1
Uncorrected formation energy in kJ per mole of atoms: -17

The structure in POSCAR format:
```
Ta3Fe8Si
1.0
4.769 0.000 0.000
-2.384 4.130 0.000
0.000 0.000 7.719
Ta Fe Si
3 8 1
Cartesian
0.000 0.000 3.426
0.000 0.000 0.519
2.384 1.377 7.093
0.000 2.753 0.065
3.554 2.052 1.950
-1.207 3.450 5.794
1.215 2.052 1.950
0.000 1.359 5.794
1.207 3.450 5.794
2.384 0.026 1.950
0.000 2.753 3.879
2.384 1.377 4.243
```

(6)
The following is a DFT calculation (PBE) of a relaxed Na2PaReN4 crystal.

Calculated values
Size of the total moment in μB/f.u.: 0.0
Uncorrected formation energy in kJ per mole of atoms: -46

The structure in POSCAR format:
```
Na2PaReN4
1.0
5.579 -0.108 -0.166
-2.475 5.001 0.166
-2.475 -1.861 4.645
Na N Re Pa
2 4 1 1
Cartesian
0.314 3.232 1.203
0.000 0.000 0.000
-1.832 -0.099 3.037
3.389 2.542 0.707
-1.619 2.685 3.680
1.320 0.936 1.868
-2.475 1.570 2.406
0.314 -0.199 3.442
```

(7)
The following is a DFT calculation (PBE) of a relaxed YMgCu2 crystal.

Calculated values
Size of the total moment in μB/f.u.: 0.0
DFT formation energy in eV/atom: -0.17

The structure in POSCAR format:
```
YMgCu2
1.0
4.133 0.000 0.000
0.000 3.733 0.008
0.000 1.856 5.095
Y Cu Mg
1 2 1
Cartesian
2.066 4.424 4.223
0.000 2.555 5.081
2.066 0.700 1.355
0.000 2.561 2.090
```

(8)
The following is a DFT calculation (PBE) of a relaxed Zr6CoHg crystal.

Calculated values
Size of the total moment in μB/f.u.: 0.0
DFT formation energy in eV/atom: -0.08

The structure in POSCAR format:
```
Zr6CoHg
1.0
-0.545 -1.206 -8.074
3.522 -5.588 -3.548
-1.789 -3.977 -3.430
Zr Hg Co
6 1 1
Cartesian
1.065 -5.246 -10.644
0.123 -5.526 -4.408
0.207 -2.672 -6.002
1.769 -9.117 -12.018
0.981 -8.099 -9.050
-0.581 -1.655 -3.034
0.594 -5.386 -7.526
0.000 0.000 0.000
```